Here is a relaxed Lu3AsN2 crystal from OQMD via LeMat-Bulk. Energies are from PBE.

The structure in CIF format:
```
data_Lu3AsN2
_chemical_formula_sum 'Lu6 As2 N4'
_cell_length_a 3.455
_cell_length_b 3.455
_cell_length_c 18.518
_cell_angle_alpha 90.00
_cell_angle_beta 90.00
_cell_angle_gamma 120.00
_symmetry_space_group_name_H-M 'P 1'
_symmetry_Int_Tables_number 1
_symmetry_space_group_name_Hall 'P 1'
loop_
_atom_site_label
_atom_site_type_symbol
_atom_site_fract_x
_atom_site_fract_y
_atom_site_fract_z
Lu1 Lu 0.667 0.333 0.142
Lu2 Lu 0.667 0.333 0.358
Lu3 Lu 0.000 0.000 0.500
Lu4 Lu 0.333 0.667 0.858
Lu5 Lu 0.333 0.667 0.642
Lu6 Lu 0.000 0.000 0.000
N1 N 0.667 0.333 0.575
N2 N 0.667 0.333 0.925
N3 N 0.333 0.667 0.075
N4 N 0.333 0.667 0.425
As1 As 0.000 0.000 0.250
As2 As 0.000 0.000 0.750
```

E ... -7.38 eV per atom
Mass density ... 10.89 g/cm3
Polymorph energy (0 for the lowest one) ... 0.02 eV/f.u.